Entry 1:
Below is an optimized crystal structure of K2HgSe, with properties calculated at the GGA-PBEsol level. Values from VASP.

ΔE_f (raw) = -649 meV per atom
Mass density = 4.96 Mg/m³
Size of the total moment = 0.0 Bohr magnetons per cell
Electronic total energy = -2.32 eV/atom
DOS(E_F) = 1.0 states/eV/f.u.

Structure (Quantum ESPRESSO input):
```
&SYSTEM
  ibrav = 0, nat = 4, ntyp = 3
/
ATOMIC_SPECIES
Hg 200.59 Hg.upf
K 39.10 K.upf
Se 78.96 Se.upf
CELL_PARAMETERS angstrom
-2.653 -2.239 2.597
-2.730 -1.620 -4.186
3.132 -4.196 -0.418
ATOMIC_POSITIONS crystal
Hg 0.500 0.000 0.000
K 0.000 0.000 0.500
K 0.000 0.500 0.000
Se 0.500 0.500 0.500
```



Entry 2:
Below is an optimized crystal structure of K2HgSe, with properties calculated at the GGA-PBEsol level. Values from VASP.

ΔE_f (raw) = -718 meV per atom
Mass density = 4.52 Mg/m³
Size of the total moment = 0.0 Bohr magnetons per cell
Electronic total energy = -2.39 eV/atom

Structure (Quantum ESPRESSO input):
```
&SYSTEM
  ibrav = 0, nat = 4, ntyp = 3
/
ATOMIC_SPECIES
K 39.10 K.upf
Hg 200.59 Hg.upf
Se 78.96 Se.upf
CELL_PARAMETERS angstrom
-3.258 -2.577 2.181
2.227 -3.863 -1.236
4.858 1.515 4.020
ATOMIC_POSITIONS crystal
K 0.017 0.000 0.910
K 0.737 0.500 0.348
Hg 0.451 0.500 0.776
Se 0.295 0.000 0.466
```



Entry 3:
Below is an optimized crystal structure of K2Si2Hg, with properties calculated at the GGA-PBEsol level. Values from VASP.

ΔE_f (raw) = 274 meV per atom
Mass density = 3.11 Mg/m³
Size of the total moment = 0.0 Bohr magnetons per cell
Electronic total energy = -2.59 eV/atom

Structure (Quantum ESPRESSO input):
```
&SYSTEM
  ibrav = 0, nat = 5, ntyp = 3
/
ATOMIC_SPECIES
K 39.10 K.upf
Si 28.09 Si.upf
Hg 200.59 Hg.upf
CELL_PARAMETERS angstrom
-5.699 -2.051 -1.109
3.114 -2.200 5.162
-1.779 1.932 5.569
ATOMIC_POSITIONS crystal
K 0.750 0.500 0.750
K 0.250 0.500 0.250
Si 0.613 0.225 0.387
Si 0.387 0.775 0.613
Hg 0.000 0.000 0.000
```



Entry 4:
Below is an optimized crystal structure of K3SiHg, with properties calculated at the GGA-PBEsol level. Values from VASP.

ΔE_f (raw) = 525 meV per atom
Mass density = 2.41 Mg/m³
Size of the total moment = 1.1 Bohr magnetons per cell
Electronic total energy = -1.42 eV/atom
DOS(E_F) = 1.5 states/eV/f.u.

Structure (Quantum ESPRESSO input):
```
&SYSTEM
  ibrav = 0, nat = 5, ntyp = 3
/
ATOMIC_SPECIES
K 39.10 K.upf
Si 28.09 Si.upf
Hg 200.59 Hg.upf
CELL_PARAMETERS angstrom
6.200 0.000 0.000
0.000 6.200 0.000
0.000 0.000 6.200
ATOMIC_POSITIONS crystal
K 0.000 0.500 0.000
K 0.000 0.000 0.500
K 0.500 0.000 0.000
Si 0.500 0.500 0.500
Hg 0.000 0.000 0.000
```



Entry 5:
Below is an optimized crystal structure of KSiHg2, with properties calculated at the GGA-PBEsol level. Values from VASP.

ΔE_f (raw) = 130 meV per atom
Mass density = 7.98 Mg/m³
Size of the total moment = 0.0 Bohr magnetons per cell
Electronic total energy = -1.87 eV/atom
DOS(E_F) = 1.6 states/eV/f.u.

Structure (Quantum ESPRESSO input):
```
&SYSTEM
  ibrav = 0, nat = 4, ntyp = 3
/
ATOMIC_SPECIES
Hg 200.59 Hg.upf
K 39.10 K.upf
Si 28.09 Si.upf
CELL_PARAMETERS angstrom
3.116 0.000 0.000
0.000 3.950 0.000
0.000 0.000 7.913
ATOMIC_POSITIONS crystal
Hg 0.000 0.000 0.697
Hg 0.000 0.000 0.303
K 0.500 0.500 0.000
Si 0.500 0.500 0.500
```



Entry 6:
Below is an optimized crystal structure of KTa2SiHg, with properties calculated at the GGA-PBEsol level. Values from VASP.

ΔE_f (raw) = 2903 meV per atom
Mass density = 9.31 Mg/m³
Size of the total moment = 0.0 Bohr magnetons per cell
Electronic total energy = -3.61 eV/atom
DOS(E_F) = 5.0 states/eV/f.u.

Structure (Quantum ESPRESSO input):
```
&SYSTEM
  ibrav = 0, nat = 5, ntyp = 4
/
ATOMIC_SPECIES
K 39.10 K.upf
Si 28.09 Si.upf
Hg 200.59 Hg.upf
Ta 180.95 Ta.upf
CELL_PARAMETERS angstrom
4.642 0.000 0.000
0.000 4.642 0.000
0.000 0.000 5.213
ATOMIC_POSITIONS crystal
K 0.000 0.000 0.000
Si 0.500 0.500 0.500
Hg 0.000 0.000 0.500
Ta 0.000 0.500 0.000
Ta 0.500 0.000 0.000
```



Entry 7:
Below is an optimized crystal structure of K2SnHg2, with properties calculated at the GGA-PBEsol level. Values from VASP.

Energy of formation = -194 meV per atom
Mass density = 6.26 Mg/m³
Size of the total moment = 0.0 Bohr magnetons per cell
Electronic total energy = -1.73 eV/atom
DOS(E_F) = 1.6 states/eV/f.u.

Structure (Quantum ESPRESSO input):
```
&SYSTEM
  ibrav = 0, nat = 10, ntyp = 3
/
ATOMIC_SPECIES
K 39.10 K.upf
Hg 200.59 Hg.upf
Sn 118.71 Sn.upf
CELL_PARAMETERS angstrom
5.525 0.000 0.000
0.000 7.581 0.000
0.000 0.000 7.581
ATOMIC_POSITIONS crystal
K 0.500 0.178 0.678
K 0.500 0.678 0.822
K 0.500 0.822 0.322
K 0.500 0.322 0.178
Hg 0.000 0.363 0.863
Hg 0.000 0.863 0.637
Hg 0.000 0.637 0.137
Hg 0.000 0.137 0.363
Sn 0.000 0.000 0.000
Sn 0.000 0.500 0.500
```



Entry 8:
Below is an optimized crystal structure of KSr2Hg, with properties calculated at the GGA-PBEsol level. Values from VASP.

Energy of formation = -265 meV per atom
Mass density = 3.99 Mg/m³
Size of the total moment = 0.0 Bohr magnetons per cell
Electronic total energy = -1.61 eV/atom
DOS(E_F) = 3.0 states/eV/f.u.

Structure (Quantum ESPRESSO input):
```
&SYSTEM
  ibrav = 0, nat = 4, ntyp = 3
/
ATOMIC_SPECIES
Sr 87.62 Sr.upf
K 39.10 K.upf
Hg 200.59 Hg.upf
CELL_PARAMETERS angstrom
-3.838 -0.849 0.691
0.733 -0.124 3.921
-2.206 10.582 0.747
ATOMIC_POSITIONS crystal
Sr 0.000 0.000 0.828
Sr 0.000 0.000 0.172
K 0.500 0.500 0.500
Hg 0.500 0.500 0.000
```



Entry 9:
Below is an optimized crystal structure of KSr2Hg, with properties calculated at the GGA-PBEsol level. Values from VASP.

Energy of formation = -158 meV per atom
Mass density = 3.94 Mg/m³
Size of the total moment = 0.0 Bohr magnetons per cell
Electronic total energy = -1.50 eV/atom
DOS(E_F) = 4.1 states/eV/f.u.

Structure (Quantum ESPRESSO input):
```
&SYSTEM
  ibrav = 0, nat = 4, ntyp = 3
/
ATOMIC_SPECIES
Hg 200.59 Hg.upf
K 39.10 K.upf
Sr 87.62 Sr.upf
CELL_PARAMETERS angstrom
4.107 0.000 0.000
0.000 4.107 0.000
0.000 0.000 10.367
ATOMIC_POSITIONS crystal
Hg 0.000 0.000 0.467
K 0.500 0.500 0.689
Sr 0.000 0.000 0.027
Sr 0.500 0.500 0.317
```



Entry 10:
Below is an optimized crystal structure of KSr2Hg, with properties calculated at the GGA-PBEsol level. Values from VASP.

Energy of formation = -135 meV per atom
Mass density = 3.96 Mg/m³
Size of the total moment = 0.0 Bohr magnetons per cell
Electronic total energy = -1.48 eV/atom
DOS(E_F) = 3.6 states/eV/f.u.

Structure (Quantum ESPRESSO input):
```
&SYSTEM
  ibrav = 0, nat = 4, ntyp = 3
/
ATOMIC_SPECIES
Hg 200.59 Hg.upf
K 39.10 K.upf
Sr 87.62 Sr.upf
CELL_PARAMETERS angstrom
-2.963 2.685 -0.440
-3.851 -4.123 0.771
3.496 2.043 7.321
ATOMIC_POSITIONS crystal
Hg 0.490 0.490 0.980
K 0.181 0.681 0.363
Sr 0.004 0.004 0.008
Sr 0.825 0.325 0.649
```



Entry 11:
Below is an optimized crystal structure of KSr2Hg, with properties calculated at the GGA-PBEsol level. Values from VASP.

Energy of formation = -198 meV per atom
Mass density = 3.49 Mg/m³
Size of the total moment = 0.0 Bohr magnetons per cell
Electronic total energy = -1.54 eV/atom
DOS(E_F) = 4.1 states/eV/f.u.

Structure (Quantum ESPRESSO input):
```
&SYSTEM
  ibrav = 0, nat = 4, ntyp = 3
/
ATOMIC_SPECIES
Sr 87.62 Sr.upf
K 39.10 K.upf
Hg 200.59 Hg.upf
CELL_PARAMETERS angstrom
4.492 0.000 0.000
2.246 3.890 0.000
2.246 1.297 11.293
ATOMIC_POSITIONS crystal
Sr 0.277 0.277 0.168
Sr 0.723 0.723 0.832
K 0.500 0.500 0.500
Hg 0.000 0.000 0.000
```



Entry 12:
Below is an optimized crystal structure of K3SrHg, with properties calculated at the GGA-PBEsol level. Values from VASP.

Energy of formation = 70 meV per atom
Mass density = 2.37 Mg/m³
Size of the total moment = 0.0 Bohr magnetons per cell
Electronic total energy = -1.09 eV/atom
DOS(E_F) = 3.4 states/eV/f.u.

Structure (Quantum ESPRESSO input):
```
&SYSTEM
  ibrav = 0, nat = 5, ntyp = 3
/
ATOMIC_SPECIES
Sr 87.62 Sr.upf
K 39.10 K.upf
Hg 200.59 Hg.upf
CELL_PARAMETERS angstrom
-2.683 -2.877 -5.271
5.309 -3.835 -0.609
-2.807 -4.503 3.887
ATOMIC_POSITIONS crystal
Sr 0.500 0.500 0.500
K 0.000 0.500 0.000
K 0.000 0.000 0.500
K 0.500 0.000 0.000
Hg 0.000 0.000 0.000
```



Entry 13:
Below is an optimized crystal structure of KSr3Hg, with properties calculated at the GGA-PBEsol level. Values from VASP.

Energy of formation = -156 meV per atom
Mass density = 3.28 Mg/m³
Size of the total moment = 0.0 Bohr magnetons per cell
Electronic total energy = -1.60 eV/atom
DOS(E_F) = 4.2 states/eV/f.u.

Structure (Quantum ESPRESSO input):
```
&SYSTEM
  ibrav = 0, nat = 5, ntyp = 3
/
ATOMIC_SPECIES
Sr 87.62 Sr.upf
K 39.10 K.upf
Hg 200.59 Hg.upf
CELL_PARAMETERS angstrom
-1.400 1.049 6.090
1.853 -5.886 1.440
5.895 2.099 0.994
ATOMIC_POSITIONS crystal
Sr 0.000 0.500 0.000
Sr 0.000 0.000 0.500
Sr 0.500 0.000 0.000
K 0.500 0.500 0.500
Hg 0.000 0.000 0.000
```



Entry 14:
Below is an optimized crystal structure of KSr2Hg, with properties calculated at the GGA-PBEsol level. Values from VASP.

Energy of formation = 62 meV per atom
Mass density = 4.36 Mg/m³
Size of the total moment = 0.0 Bohr magnetons per cell
Electronic total energy = -1.28 eV/atom
DOS(E_F) = 6.0 states/eV/f.u.

Structure (Quantum ESPRESSO input):
```
&SYSTEM
  ibrav = 0, nat = 4, ntyp = 3
/
ATOMIC_SPECIES
Hg 200.59 Hg.upf
K 39.10 K.upf
Sr 87.62 Sr.upf
CELL_PARAMETERS angstrom
6.070 0.000 0.000
3.035 5.257 0.000
3.035 1.752 4.956
ATOMIC_POSITIONS crystal
Hg 0.500 0.500 0.500
K 0.250 0.250 0.250
Sr 0.000 0.000 0.000
Sr 0.750 0.750 0.750
```



Entry 15:
Below is an optimized crystal structure of K2SrHg2, with properties calculated at the GGA-PBEsol level. Values from VASP.

Energy of formation = -215 meV per atom
Mass density = 4.93 Mg/m³
Size of the total moment = 0.0 Bohr magnetons per cell
Electronic total energy = -1.26 eV/atom
DOS(E_F) = 2.9 states/eV/f.u.

Structure (Quantum ESPRESSO input):
```
&SYSTEM
  ibrav = 0, nat = 10, ntyp = 3
/
ATOMIC_SPECIES
Sr 87.62 Sr.upf
K 39.10 K.upf
Hg 200.59 Hg.upf
CELL_PARAMETERS angstrom
5.443 0.000 0.000
0.000 8.377 0.000
0.000 0.000 8.377
ATOMIC_POSITIONS crystal
Sr 0.000 0.000 0.000
Sr 0.000 0.500 0.500
K 0.500 0.167 0.667
K 0.500 0.667 0.833
K 0.500 0.833 0.333
K 0.500 0.333 0.167
Hg 0.000 0.376 0.876
Hg 0.000 0.876 0.624
Hg 0.000 0.624 0.124
Hg 0.000 0.124 0.376
```